Record 1
This record from Alexandria describes a geometry-optimized CeDy2Ni9 structure. The functional is PBE.

The structure belongs to space group R-3m (No. 166, hexagonal axes); the cell edges are 4.9601, 4.9601 and 24.4536 Å and the angles 90.00°, 90.00° and 120.00°. The asymmetric unit holds Ce at (0.0000, 0.0000, 0.0000), Dy at (0.0000, 0.0000, 0.1394), Ni at (0.0000, 0.0000, 0.3332), Ni at (0.0000, 0.0000, 0.5000) and Ni at (0.0011, 0.5005, 0.9171).

As for the density of states at the Fermi level: 14.56 states/eV/f.u. As for the magnetic moment: 0.00 μB per cell. The energy of formation is -0.413 eV per atom.


Record 2
This record from Alexandria describes a geometry-optimized CeDy2Ni structure. The functional is PBE.

The structure belongs to space group R3m (No. 160, hexagonal axes); the cell edges are 3.7274, 3.7274 and 27.4748 Å and the angles 90.00°, 90.00° and 120.00°. The asymmetric unit holds Ce at (0.0000, 0.0000, 0.0000), Dy at (0.0000, 0.0000, 0.5571), Dy at (0.0000, 0.0000, 0.7719) and Ni at (0.0000, 0.0000, 0.1641).

As for the density of states at the Fermi level: 8.44 states/eV/f.u. As for the magnetic moment: 4.85 μB per cell. The energy above the lowest structure with this stoichiometry comes out at 156 meV/atom. The energy of formation is -0.031 eV per atom.


Record 3
This record from Alexandria describes a geometry-optimized CeDy3Ni structure. The functional is PBE.

The structure belongs to space group Pm-3m (No. 221); the cell edges are 5.3136, 5.3136 and 5.3136 Å and the angles 90.00°, 90.00° and 90.00°. The asymmetric unit holds Ce at (0.0000, 0.0000, 0.0000), Dy at (0.0000, 0.5000, 0.5000) and Ni at (0.5000, 0.5000, 0.5000).

As for the density of states at the Fermi level: 13.77 states/eV/f.u. As for the magnetic moment: 1.30 μB per cell. The energy of formation is 0.011 eV per atom.


Record 4
This record from Alexandria describes a geometry-optimized Ce3DyNi8 structure. The functional is PBE.

The structure belongs to space group R3m (No. 160, hexagonal axes); the cell edges are 5.0829, 5.0829 and 24.8472 Å and the angles 90.00°, 90.00° and 120.00°. The asymmetric unit holds Ce at (0.0000, 0.0000, 0.0000), Ce at (0.0000, 0.0000, 0.1235), Ce at (0.0000, 0.0000, 0.6317), Dy at (0.0000, 0.0000, 0.5054), Ni at (0.0000, 0.0000, 0.3157), Ni at (0.0000, 0.0000, 0.8159), Ni at (0.0027, 0.5014, 0.0666) and Ni at (0.1680, 0.3361, 0.8979).

As for the density of states at the Fermi level: 15.02 states/eV/f.u. As for the magnetic moment: 0.33 μB per cell. The energy above the lowest structure with this stoichiometry comes out at 0 meV/atom. The energy of formation is -0.391 eV per atom.


Record 5
This record from Alexandria describes a geometry-optimized Ce3DyNi8 structure. The functional is PBE.

The structure belongs to space group P3m1 (No. 156); the cell edges are 5.0490, 5.0490 and 8.4196 Å and the angles 90.00°, 90.00° and 120.00°. The asymmetric unit holds Ce at (0.0000, 0.0000, 0.0000), Ce at (0.0000, 0.0000, 0.3844), Ce at (0.3333, 0.6667, 0.8918), Dy at (0.3333, 0.6667, 0.5135), Ni at (0.3406, 0.1703, 0.6979), Ni at (0.5026, 0.0052, 0.2020), Ni at (0.6667, 0.3333, 0.4496) and Ni at (0.6667, 0.3333, 0.9539).

As for the density of states at the Fermi level: 17.45 states/eV/f.u. As for the magnetic moment: 0.00 μB per cell. The energy above the lowest structure with this stoichiometry comes out at 16 meV/atom. The energy of formation is -0.376 eV per atom.


Record 6
This record from Alexandria describes a geometry-optimized CeDyNiRu structure. The functional is PBE.

The structure belongs to space group F-43m (No. 216); the cell edges are 6.8378, 6.8378 and 6.8378 Å and the angles 90.00°, 90.00° and 90.00°. The asymmetric unit holds Ce at (0.0000, 0.0000, 0.0000), Dy at (0.0000, 0.0000, 0.5000), Ni at (0.2500, 0.2500, 0.7500) and Ru at (0.2500, 0.2500, 0.2500).

As for the density of states at the Fermi level: 4.39 states/eV/f.u. As for the magnetic moment: 1.29 μB per cell. The energy of formation is -0.332 eV per atom.


Record 7
This record from Alexandria describes a geometry-optimized Ce2DyNiS5 structure. The functional is PBE.

The structure belongs to space group Cmc2_1 (No. 36); the cell edges are 3.8227, 16.4145 and 11.8098 Å and the angles 90.00°, 90.00° and 90.00°. The asymmetric unit holds Ce at (0.0000, 0.1110, 0.0000), Ce at (0.0000, 0.1179, 0.3467), Dy at (0.0000, 0.1760, 0.6767), Ni at (0.0000, 0.4490, 0.0670), S at (0.0000, 0.0130, 0.6601), S at (0.0000, 0.3039, 0.3413), S at (0.0000, 0.3162, 0.0108), S at (0.0000, 0.3425, 0.6713) and S at (0.0000, 0.4956, 0.3980).

As for the density of states at the Fermi level: 9.48 states/eV/f.u. For the uncorrected formation energy, the calculation gives -1757 meV per atom. As for the magnetic moment: 4.25 μB per cell.


Record 8
This record from Alexandria describes a geometry-optimized CeDySi2Ni2 structure. The functional is PBE.

The structure belongs to space group P-3m1 (No. 164); the cell edges are 4.0495, 4.0495 and 7.7906 Å and the angles 90.00°, 90.00° and 120.00°. The asymmetric unit holds Ce at (0.0000, 0.0000, 0.0000), Dy at (0.0000, 0.0000, 0.5000), Si at (0.3333, 0.6667, 0.2524) and Ni at (0.3333, 0.6667, 0.7427).

As for the density of states at the Fermi level: 7.11 states/eV/f.u. For the uncorrected formation energy, the calculation gives -767 meV per atom. As for the magnetic moment: 0.00 μB per cell.


Record 9
This record from Alexandria describes a geometry-optimized Ce2DySi2Ni2 structure. The functional is PBE.

The structure belongs to space group R-3m (No. 166, hexagonal axes); the cell edges are 4.1076, 4.1076 and 26.8928 Å and the angles 90.00°, 90.00° and 120.00°. The asymmetric unit holds Ce at (0.0000, 0.0000, 0.1365), Dy at (0.0000, 0.0000, 0.0000), Si at (0.0000, 0.0000, 0.2629) and Ni at (0.0000, 0.0000, 0.4040).

As for the density of states at the Fermi level: 8.27 states/eV/f.u. For the uncorrected formation energy, the calculation gives -673 meV per atom. As for the magnetic moment: 0.61 μB per cell.


Record 10
This record from Alexandria describes a geometry-optimized CeDyNpO6 structure. The functional is PBE.

The structure belongs to space group P-31c (No. 163); the cell edges are 5.7807, 5.7807 and 9.5908 Å and the angles 90.00°, 90.00° and 120.00°. The asymmetric unit holds Ce at (0.0000, 0.0000, 0.0000), Dy at (0.3333, 0.6667, 0.2500), Np at (0.3333, 0.6667, 0.7500) and O at (0.0223, 0.3561, 0.6342).

As for the density of states at the Fermi level: 8.94 states/eV/f.u. For the uncorrected formation energy, the calculation gives -3196 meV per atom. As for the magnetic moment: 4.00 μB per cell.


Record 11
This record from Alexandria describes a geometry-optimized CeDy2NpO8 structure. The functional is PBE.

The structure belongs to space group P2/m (No. 10); the cell edges are 3.8174, 7.5448 and 5.3665 Å and the angles 90.00°, 90.07° and 90.00°. The asymmetric unit holds Ce at (0.0000, 0.0000, 0.0000), Dy at (0.5000, 0.2515, 0.5000), Np at (0.0000, 0.5000, 0.0000), O at (0.0005, 0.2697, 0.7596), O at (0.4994, 0.5000, 0.2304) and O at (0.4995, 0.0000, 0.2487).

As for the density of states at the Fermi level: 4.55 states/eV/f.u. For the uncorrected formation energy, the calculation gives -3305 meV per atom. As for the magnetic moment: 1.00 μB per cell.


Record 12
This record from Alexandria describes a geometry-optimized CeDy2NpP4 structure. The functional is PBE.

The structure belongs to space group P2/m (No. 10); the cell edges are 6.9492, 4.0099 and 6.9603 Å and the angles 90.00°, 109.47° and 90.00°. The asymmetric unit holds Ce at (0.0000, 0.0000, 0.0000), Dy at (0.0000, 0.5000, 0.5000), Dy at (0.5000, 0.0000, 0.5000), Np at (0.5000, 0.5000, 0.0000), P at (0.2541, 0.5000, 0.2502) and P at (0.2554, 0.0000, 0.7526).

As for the density of states at the Fermi level: 13.06 states/eV/f.u. As for the magnetic moment: 4.22 μB per cell. The energy of formation is -1.394 eV per atom.


no.,calculated total energy (eV per atom)
1,-6.01
2,-5.26
3,-5.09
4,-6.11
5,-6.10
6,-6.73
7,-6.52
8,-6.26
9,-6.23
10,-9.11
11,-8.95
12,-7.61